No. 1
Below is a relaxed structure of BaTl2Cu2, with properties calculated at the PBE level.

Results
The electronic total energy comes out at -13.79 eV/f.u. The calculated volume comes out at 25.427 Å³ per atom. The crystal system is tetragonal.

Cell: 8.6342 8.6342 3.4108 Å, 90.00 90.00 90.00°
Closest atoms and distances in Å follow each position.
Space group P4/mbm (No. 127)
One atom of each set of equivalent atoms:
Ba 0.0000 0.0000 0.0000 x2  4 Tl 3.39, 2 Ba 3.41, 8 Cu 3.67
Tl 0.1302 0.3698 0.0000 x4  6 Cu 3.03-3.10, 1 Tl 3.18, 2 Ba 3.39
Cu 0.1582 0.6582 0.5000 x4  6 Tl 3.03-3.10

No. 2
Below is a relaxed structure of TbEr2MgPd4, with properties calculated at the PBE level.

Results
The electronic total energy comes out at -42.97 eV/f.u. The calculated volume comes out at 20.188 Å³ per atom. The crystal system is trigonal.

Cell: 4.8475 4.8475 23.8095 Å, 90.00 90.00 120.00°
Closest atoms and distances in Å follow each position.
Space group R-3m (No. 166, hexagonal axes)
One atom of each set of equivalent atoms:
Tb 0.0000 0.0000 0.0000 x3  8 Pd 2.96-2.98
Er 0.0000 0.0000 0.2453 x6  8 Pd 2.88-3.11
Mg 0.0000 0.0000 0.5000 x3  8 Pd 2.95-2.97
Pd 0.0000 0.0000 0.1244 x6  4 Er 2.88-2.93, 1 Tb 2.96, 3 Mg 2.97
Pd 0.0000 0.0000 0.3760 x6  1 Mg 2.95, 3 Tb 2.98, 4 Er 3.00-3.11

Energy relative to the elements in eV/atom, matching the order above: 0.211, -0.857